# BaAcTlGa (PBE, relaxed)
# Crystal system: cubic
data_BaAcTlGa
_chemical_formula_sum 'Ba4 Ac4 Tl4 Ga4'
_symmetry_space_group_name_H-M 'F -4 3 m'
_symmetry_Int_Tables_number 216
_symmetry_space_group_name_Hall 'F -4 2 3'
_cell_length_a 8.2441
_cell_length_b 8.2441
_cell_length_c 8.2441
_cell_angle_alpha 90.00
_cell_angle_beta 90.00
_cell_angle_gamma 90.00
loop_
_atom_site_label
_atom_site_type_symbol
_atom_site_fract_x
_atom_site_fract_y
_atom_site_fract_z
Ba1 Ba 0.0000 0.0000 0.0000
Ac1 Ac 0.0000 0.0000 0.5000
Tl1 Tl 0.2500 0.2500 0.2500
Ga1 Ga 0.2500 0.2500 0.7500

***

# BaAcZnGa (PBE, relaxed)
# Crystal system: cubic
data_BaAcZnGa
_chemical_formula_sum 'Ba4 Ac4 Zn4 Ga4'
_symmetry_space_group_name_H-M 'F -4 3 m'
_symmetry_Int_Tables_number 216
_symmetry_space_group_name_Hall 'F -4 2 3'
_cell_length_a 7.9920
_cell_length_b 7.9920
_cell_length_c 7.9920
_cell_angle_alpha 90.00
_cell_angle_beta 90.00
_cell_angle_gamma 90.00
loop_
_atom_site_label
_atom_site_type_symbol
_atom_site_fract_x
_atom_site_fract_y
_atom_site_fract_z
Ba1 Ba 0.0000 0.0000 0.0000
Ac1 Ac 0.0000 0.0000 0.5000
Zn1 Zn 0.2500 0.2500 0.7500
Ga1 Ga 0.2500 0.2500 0.2500

***

# BaAcGd (PBE, relaxed)
# Crystal system: trigonal
data_BaAcGd
_chemical_formula_sum 'Ba1 Ac1 Gd1'
_symmetry_space_group_name_H-M 'P 3 m 1'
_symmetry_Int_Tables_number 156
_cell_length_a 3.9514
_cell_length_b 3.9514
_cell_length_c 9.7889
_cell_angle_alpha 90.00
_cell_angle_beta 90.00
_cell_angle_gamma 120.00
loop_
_symmetry_equiv_pos_as_xyz
'x,y,z'
'-y,x-y,z'
'-x+y,-x,z'
'-y,-x,z'
'-x+y,y,z'
'x,x-y,z'
loop_
_atom_site_label
_atom_site_type_symbol
_atom_site_fract_x
_atom_site_fract_y
_atom_site_fract_z
Ba1 Ba 0.0000 0.0000 0.0000
Ac1 Ac 0.6667 0.3333 0.3656
Gd1 Gd 0.3333 0.6667 0.6634

***

# BaAc4Gd (PBE, relaxed)
# Crystal system: cubic
data_BaAc4Gd
_chemical_formula_sum 'Ba4 Ac16 Gd4'
_symmetry_space_group_name_H-M 'F -4 3 m'
_symmetry_Int_Tables_number 216
_symmetry_space_group_name_Hall 'F -4 2 3'
_cell_length_a 12.4439
_cell_length_b 12.4439
_cell_length_c 12.4439
_cell_angle_alpha 90.00
_cell_angle_beta 90.00
_cell_angle_gamma 90.00
loop_
_atom_site_label
_atom_site_type_symbol
_atom_site_fract_x
_atom_site_fract_y
_atom_site_fract_z
Ba1 Ba 0.0000 0.0000 0.0000
Ac1 Ac 0.1442 0.1442 0.1442
Gd1 Gd 0.2500 0.2500 0.7500

***

no.,V (Å³/cell),energy of formation from the pure elements (eV per atom)
1,560.31,-0.311
2,510.46,-0.266
3,132.36,0.124
4,1926.93,1.653